1.
The following is a DFT calculation (PBE) of an optimized crystal structure of KGe2PtO6.

The space group is C2/c (No. 15) and the conventional cell measures 10.5946, 10.2047 and 5.8019 Å, with angles of 90.00, 104.98 and 90.00 degrees. Symmetry generates all atoms from K at (0.0000, 0.0941, 0.2500), Ge at (0.2110, 0.4117, 0.1326), Pt at (0.0000, 0.2852, 0.7500), O at (0.0970, 0.2861, 0.0993), O at (0.1284, 0.1266, 0.7115) and O at (0.1675, 0.4491, 0.8032).

The value obtained for the formation energy (no corrections) is -1139.6 kJ/mol of formula units.

2.
The following is a DFT calculation (PBE) of an optimized crystal structure of PmThPd2O8.

The space group is I-4m2 (No. 119) and the conventional cell measures 5.3614, 5.3614 and 10.6174 Å, with angles of 90.00, 90.00 and 90.00 degrees. Symmetry generates all atoms from Pm at (0.0000, 0.0000, 0.0000), Th at (0.0000, 0.5000, 0.7500), Pd at (0.0000, 0.0000, 0.5000), Pd at (0.0000, 0.5000, 0.2500) and O at (0.2240, 0.2501, 0.3741).

The value obtained for the formation energy (no corrections) is -1694.7 kJ/mol of formula units.

3.
The following is a DFT calculation (PBE) of an optimized crystal structure of Pm5YHo2Tm.

The space group is Cmc2_1 (No. 36) and the conventional cell measures 5.6359, 20.3173 and 10.6280 Å, with angles of 90.00, 90.00 and 90.00 degrees. Symmetry generates all atoms from Pm at (0.0000, 0.0159, 0.0000), Pm at (0.0000, 0.2788, 0.2959), Pm at (0.0000, 0.2980, 0.6914), Pm at (0.0000, 0.3844, 0.0043), Pm at (0.0000, 0.4824, 0.7262), Y at (0.0000, 0.4079, 0.4441), Ho at (0.0000, 0.1128, 0.7208), Ho at (0.0000, 0.1142, 0.2928) and Tm at (0.0000, 0.1987, 0.9945).

The value obtained for the energy of formation is 0.150 eV/atom.

4.
The following is a DFT calculation (PBE) of an optimized crystal structure of Tb2Ho3Tl7.

The space group is Cmmm (No. 65) and the conventional cell measures 5.2718, 25.6167 and 5.3884 Å, with angles of 90.00, 90.00 and 90.00 degrees. Symmetry generates all atoms from Tb at (0.0000, 0.1520, 0.0000), Ho at (0.0000, 0.3487, 0.5000), Ho at (0.0000, 0.5000, 0.5000), Tl at (0.0000, 0.0000, 0.0000), Tl at (0.0000, 0.0809, 0.5000), Tl at (0.0000, 0.2798, 0.0000) and Tl at (0.0000, 0.4251, 0.0000).

The value obtained for the energy of formation is -0.079 eV/atom.

5.
The following is a DFT calculation (PBE) of an optimized crystal structure of Ta2CuTe.

The space group is Pmm2 (No. 25) and the conventional cell measures 3.4946, 3.5111 and 5.9428 Å, with angles of 90.00, 90.00 and 90.00 degrees. Symmetry generates all atoms from Ta at (0.0000, 0.0000, 0.0000), Ta at (0.5000, 0.5000, 0.2433), Cu at (0.0000, 0.0000, 0.4509) and Te at (0.5000, 0.5000, 0.7284).

The value obtained for the formation energy (no corrections) is 51.6 kJ/mol of formula units.

6.
The following is a DFT calculation (PBE) of an optimized crystal structure of CoSn2MoRh.

The space group is P4/mmm (No. 123) and the conventional cell measures 5.1508, 5.1508 and 4.3809 Å, with angles of 90.00, 90.00 and 90.00 degrees. Symmetry generates all atoms from Co at (0.0000, 0.0000, 0.0000), Sn at (0.0000, 0.5000, 0.5000), Mo at (0.0000, 0.0000, 0.5000) and Rh at (0.5000, 0.5000, 0.0000).

The value obtained for the energy of formation is 1.161 eV/atom.

7.
The following is a DFT calculation (PBE) of an optimized crystal structure of Ca2Mg2Cu.

The space group is Cm (No. 8) and the conventional cell measures 16.6563, 4.5298 and 7.5422 Å, with angles of 90.00, 105.03 and 90.00 degrees. Symmetry generates all atoms from Ca at (0.0000, 0.0000, 0.0000), Ca at (0.0771, 0.5000, 0.6789), Ca at (0.2185, 0.5000, 0.2177), Ca at (0.3407, 0.0000, 0.6441), Mg at (0.1290, 0.0000, 0.4205), Mg at (0.2050, 0.0000, 0.8812), Mg at (0.3714, 0.0000, 0.1350), Mg at (0.4461, 0.5000, 0.4112), Cu at (0.0374, 0.5000, 0.2841) and Cu at (0.3028, 0.5000, 0.9176).

For the energy above the most stable polymorph in this dataset, the calculation gives 43.1 meV per atom. The value obtained for the energy of formation is -0.042 eV/atom.

8.
The following is a DFT calculation (PBE) of an optimized crystal structure of Zr3PbO.

The space group is Pm-3m (No. 221) and the conventional cell measures 5.4395, 5.4395 and 5.4395 Å, with angles of 90.00, 90.00 and 90.00 degrees. Symmetry generates all atoms from Zr at (0.0000, 0.0000, 0.5000), Pb at (0.0000, 0.0000, 0.0000) and O at (0.5000, 0.5000, 0.5000).

For the energy above the most stable polymorph in this dataset, the calculation gives 2625.0 meV per atom. The value obtained for the formation energy (no corrections) is 784.4 kJ/mol of formula units.

9.
The following is a DFT calculation (PBE) of an optimized crystal structure of NaAcRhAu.

The space group is F-43m (No. 216) and the conventional cell measures 7.2734, 7.2734 and 7.2734 Å, with angles of 90.00, 90.00 and 90.00 degrees. Symmetry generates all atoms from Na at (0.0000, 0.0000, 0.0000), Ac at (0.0000, 0.0000, 0.5000), Rh at (0.2500, 0.2500, 0.2500) and Au at (0.2500, 0.2500, 0.7500).

The value obtained for the energy of formation is -0.327 eV/atom.

10.
The following is a DFT calculation (PBE) of an optimized crystal structure of TaCoSe2.

The space group is Imm2 (No. 44) and the conventional cell measures 3.3600, 3.4929 and 13.8684 Å, with angles of 90.00, 90.00 and 90.00 degrees. Symmetry generates all atoms from Ta at (0.0000, 0.0000, 0.0000), Co at (0.0000, 0.5000, 0.6341), Se at (0.0000, 0.0000, 0.4064) and Se at (0.0000, 0.5000, 0.1445).

The value obtained for the formation energy (no corrections) is -121.9 kJ/mol of formula units.